Model w:
Here is a geometry-optimized NbTl3B structure from Alexandria. Energies are from GGA-PBE.

It has space group Pm-3m (No. 221), with a = 5.504 Å, b = 5.504 Å, c = 5.504 Å, α = 90.00°, β = 90.00° and γ = 90.00°. The inequivalent atoms are Nb at (0.000, 0.000, 0.000), Tl at (0.000, 0.000, 0.500) and B at (0.500, 0.500, 0.500).

For the mass density, the calculation gives 7.141 g cm⁻³. The calculation puts the density of states at the Fermi level at 3.45 states/eV/f.u.

=====

Model x:
Here is a geometry-optimized NbTl3B structure from Alexandria. Energies are from GGA-PBE.

It has space group Pm-3m (No. 221), with a = 4.897 Å, b = 4.897 Å, c = 4.897 Å, α = 90.00°, β = 90.00° and γ = 90.00°. The inequivalent atoms are Nb at (0.000, 0.000, 0.000), Tl at (0.000, 0.500, 0.500) and B at (0.500, 0.500, 0.500).

For the mass density, the calculation gives 10.136 g cm⁻³. The calculation puts the density of states at the Fermi level at 6.05 states/eV/f.u.

=====

Winner for stability: model x

=====

Model w:
Here is a geometry-optimized NbTlB2 structure from Alexandria. Energies are from GGA-PBE.

It has space group I-42d (No. 122), with a = 6.021 Å, b = 6.021 Å, c = 6.986 Å, α = 90.00°, β = 90.00° and γ = 90.00°. The inequivalent atoms are Nb at (0.000, 0.000, 0.000), Tl at (0.000, 0.000, 0.500) and B at (0.232, 0.250, 0.125).

For the mass density, the calculation gives 8.363 g cm⁻³. The calculation puts the density of states at the Fermi level at 1.36 states/eV/f.u.

=====

Model x:
Here is a geometry-optimized NbTlB2 structure from Alexandria. Energies are from GGA-PBE.

It has space group Fm-3m (No. 225), with a = 6.021 Å, b = 6.021 Å, c = 6.021 Å, α = 90.00°, β = 90.00° and γ = 90.00°. The inequivalent atoms are Nb at (0.000, 0.000, 0.000), Tl at (0.000, 0.000, 0.500) and B at (0.250, 0.250, 0.250).

For the mass density, the calculation gives 9.704 g cm⁻³. The calculation puts the density of states at the Fermi level at 2.94 states/eV/f.u.

=====

Winner for stability: model w

=====

Model w:
Here is a geometry-optimized TmNb2B6 structure from Alexandria. Energies are from GGA-PBE.

It has space group P6/mmm (No. 191), with a = 5.4502 Å, b = 5.4502 Å, c = 3.4684 Å, α = 90.00°, β = 90.00° and γ = 120.00°. The inequivalent atoms are Tm at (0.0000, 0.0000, 0.0000), Nb at (0.3333, 0.6667, 0.0000) and B at (0.0000, 0.3375, 0.5000).

For the mass density, the calculation gives 7.809 g cm⁻³. The calculation puts the density of states at the Fermi level at 1.54 states/eV/f.u.

=====

Model x:
Here is a geometry-optimized TmNb2B6 structure from Alexandria. Energies are from GGA-PBE.

It has space group Immm (No. 71), with a = 3.199 Å, b = 7.304 Å, c = 8.502 Å, α = 90.00°, β = 90.00° and γ = 90.00°. The inequivalent atoms are Tm at (0.000, 0.000, 0.000), Nb at (0.000, 0.500, 0.160), B at (0.000, 0.161, 0.500) and B at (0.000, 0.237, 0.304).

For the mass density, the calculation gives 7.017 g cm⁻³. The calculation puts the density of states at the Fermi level at 2.86 states/eV/f.u.

=====

Winner for stability: model w